#a
Compound: Be2TlSb
Source: the Alexandria database
Functional: PBE
Structure: relaxed

The structure in extended XYZ format:
```
4
Lattice="-1.867 1.867 5.589 1.867 -1.867 5.589 1.867 1.867 -5.589" Properties=species:S:1:pos:R:3 pbc="T T T"
Be 0.000 0.000 0.000
Be 0.000 1.867 2.794
Tl 0.000 0.000 5.589
Sb 1.867 0.000 2.794
```

## Properties
- N(E_F) (states/eV per atom) = 0.34
- total magnetic moment (μB per cell) = 0.00

***

#b
Compound: Be2TlSb
Source: the Alexandria database
Functional: PBE
Structure: relaxed

The structure in extended XYZ format:
```
4
Lattice="2.074 -2.418 0.000 2.074 2.418 0.000 0.000 0.000 8.238" Properties=species:S:1:pos:R:3 pbc="T T T"
Be 0.000 0.000 0.000
Be 2.074 0.000 0.776
Tl 2.074 0.000 6.141
Sb 0.000 0.000 2.536
```

## Properties
- N(E_F) (states/eV per atom) = 0.29
- total magnetic moment (μB per cell) = 0.00

***

#c
Compound: Be2TlSb
Source: the Alexandria database
Functional: PBE
Structure: relaxed

The structure in extended XYZ format:
```
4
Lattice="-1.869 1.873 6.051 1.869 -1.873 6.051 1.869 1.873 -6.051" Properties=species:S:1:pos:R:3 pbc="T T T"
Be 0.000 0.000 0.000
Be 0.000 1.873 1.013
Tl 0.000 0.000 4.603
Sb 1.869 0.000 1.626
```

## Properties
- N(E_F) (states/eV per atom) = 0.32
- total magnetic moment (μB per cell) = 0.00

***

#d
Compound: Be2TlSb
Source: the Alexandria database
Functional: PBE
Structure: relaxed

The structure in extended XYZ format:
```
4
Lattice="3.228 -3.516 0.000 3.228 3.516 0.000 -1.089 0.000 3.403" Properties=species:S:1:pos:R:3 pbc="T T T"
Be 1.614 1.758 0.000
Be 1.614 -1.758 0.000
Tl -0.545 0.000 1.702
Sb 2.684 0.000 1.702
```

## Properties
- N(E_F) (states/eV per atom) = 0.34
- total magnetic moment (μB per cell) = 0.00

***

Energies, relative to the best one, in meV per atom: #a 274; #b 20; #c 0; #d 280.